Here is crystalline Pa3Tl4WO12 at its relaxed geometry from Alexandria. Energies are from PBE+U.

Results
Raw total energy: -7.6430 eV/atom
Total magnetization: 1.0 μB per formula unit

Cell: 8.6514 8.6514 8.6514 Å, 90.00 90.00 90.00°
Space group Im-3m (No. 229)
Inequivalent atoms, fractional coordinates:
Pa  0.0000  0.0000  0.5000
Tl  0.2500  0.2500  0.2500
W  0.0000  0.0000  0.0000
O  0.0000  0.0000  0.2355
O  0.0000  0.2500  0.5000